Model 1:
PmHF2: optimized geometry, PBE.

CIF file:
```
data_PmHF2
_symmetry_space_group_name_H-M 'P 4 m m'
_symmetry_Int_Tables_number 99
_cell_length_a 3.387
_cell_length_b 3.387
_cell_length_c 4.547
_cell_angle_alpha 90.00
_cell_angle_beta 90.00
_cell_angle_gamma 90.00
loop_
_symmetry_equiv_pos_as_xyz
'x,y,z'
'-y,x,z'
'-x,-y,z'
'y,-x,z'
'-x,y,z'
'y,x,z'
'x,-y,z'
'-y,-x,z'
loop_
_atom_site_label
_atom_site_type_symbol
_atom_site_fract_x
_atom_site_fract_y
_atom_site_fract_z
Pm1 Pm 0.000 0.000 0.000
H1 H 0.500 0.500 0.226
F1 F 0.000 0.000 0.497
F2 F 0.500 0.500 0.772
```

---

Model 2:
PmHF2: optimized geometry, PBE.

CIF file:
```
data_PmHF2
_symmetry_space_group_name_H-M 'F m -3 m'
_symmetry_Int_Tables_number 225
_symmetry_space_group_name_Hall '-F 4 2 3'
_cell_length_a 5.692
_cell_length_b 5.692
_cell_length_c 5.692
_cell_angle_alpha 90.00
_cell_angle_beta 90.00
_cell_angle_gamma 90.00
loop_
_atom_site_label
_atom_site_type_symbol
_atom_site_fract_x
_atom_site_fract_y
_atom_site_fract_z
Pm1 Pm 0.000 0.000 0.000
H1 H 0.000 0.000 0.500
F1 F 0.250 0.250 0.250
```

---

Model 3:
PmHF2: optimized geometry, PBE.

CIF file:
```
data_PmHF2
_symmetry_space_group_name_H-M 'P 4/m m m'
_symmetry_Int_Tables_number 123
_symmetry_space_group_name_Hall '-P 4 2'
_cell_length_a 3.559
_cell_length_b 3.559
_cell_length_c 3.544
_cell_angle_alpha 90.00
_cell_angle_beta 90.00
_cell_angle_gamma 90.00
loop_
_atom_site_label
_atom_site_type_symbol
_atom_site_fract_x
_atom_site_fract_y
_atom_site_fract_z
Pm1 Pm 0.000 0.000 0.000
H1 H 0.500 0.500 0.000
F1 F 0.000 0.500 0.500
```

---

Most stable structure: model 2

---

Model 1:
PrHF: optimized geometry, PBE.

CIF file:
```
data_PrHF
_symmetry_space_group_name_H-M 'I 4 m m'
_symmetry_Int_Tables_number 107
_symmetry_space_group_name_Hall 'I 4 -2'
_cell_length_a 3.394
_cell_length_b 3.394
_cell_length_c 7.339
_cell_angle_alpha 90.00
_cell_angle_beta 90.00
_cell_angle_gamma 90.00
loop_
_atom_site_label
_atom_site_type_symbol
_atom_site_fract_x
_atom_site_fract_y
_atom_site_fract_z
Pr1 Pr 0.000 0.000 0.000
H1 H 0.000 0.000 0.356
F1 F 0.000 0.000 0.673
```

---

Model 2:
PrHF: optimized geometry, PBE.

CIF file:
```
data_PrHF
_symmetry_space_group_name_H-M 'F -4 3 m'
_symmetry_Int_Tables_number 216
_symmetry_space_group_name_Hall 'F -4 2 3'
_cell_length_a 5.713
_cell_length_b 5.713
_cell_length_c 5.713
_cell_angle_alpha 90.00
_cell_angle_beta 90.00
_cell_angle_gamma 90.00
loop_
_atom_site_label
_atom_site_type_symbol
_atom_site_fract_x
_atom_site_fract_y
_atom_site_fract_z
Pr1 Pr 0.000 0.000 0.000
H1 H 0.250 0.250 0.250
F1 F 0.250 0.250 0.750
```

---

Most stable structure: model 2

---

Model 1:
PrHF: optimized geometry, PBE.

CIF file:
```
data_PrHF
_symmetry_space_group_name_H-M 'P 4/n m m'
_symmetry_Int_Tables_number 129
_cell_length_a 3.892
_cell_length_b 3.892
_cell_length_c 5.992
_cell_angle_alpha 90.00
_cell_angle_beta 90.00
_cell_angle_gamma 90.00
loop_
_symmetry_equiv_pos_as_xyz
'x,y,z'
'-x,-y,-z'
'-y+1/2,x,z'
'y+1/2,-x,-z'
'-x+1/2,-y+1/2,z'
'x+1/2,y+1/2,-z'
'y,-x+1/2,z'
'-y,x+1/2,-z'
'x+1/2,-y,-z'
'-x+1/2,y,z'
'-y,-x,-z'
'y,x,z'
'-x,y+1/2,-z'
'x,-y+1/2,z'
'y+1/2,x+1/2,-z'
'-y+1/2,-x+1/2,z'
loop_
_atom_site_label
_atom_site_type_symbol
_atom_site_fract_x
_atom_site_fract_y
_atom_site_fract_z
Pr1 Pr 0.250 0.250 0.229
H1 H 0.250 0.750 0.000
F1 F 0.250 0.750 0.500
```

---

Model 2:
PrHF: optimized geometry, PBE.

CIF file:
```
data_PrHF
_symmetry_space_group_name_H-M 'I 4/m m m'
_symmetry_Int_Tables_number 139
_symmetry_space_group_name_Hall '-I 4 2'
_cell_length_a 3.828
_cell_length_b 3.828
_cell_length_c 12.333
_cell_angle_alpha 90.00
_cell_angle_beta 90.00
_cell_angle_gamma 90.00
loop_
_atom_site_label
_atom_site_type_symbol
_atom_site_fract_x
_atom_site_fract_y
_atom_site_fract_z
Pr1 Pr 0.000 0.000 0.138
H1 H 0.000 0.500 0.250
F1 F 0.000 0.500 0.000
```

---

Model 3:
PrHF: optimized geometry, PBE.

CIF file:
```
data_PrHF
_symmetry_space_group_name_H-M 'P 3 m 1'
_symmetry_Int_Tables_number 156
_cell_length_a 4.0791
_cell_length_b 4.0791
_cell_length_c 3.6939
_cell_angle_alpha 90.00
_cell_angle_beta 90.00
_cell_angle_gamma 120.00
loop_
_symmetry_equiv_pos_as_xyz
'x,y,z'
'-y,x-y,z'
'-x+y,-x,z'
'-y,-x,z'
'-x+y,y,z'
'x,x-y,z'
loop_
_atom_site_label
_atom_site_type_symbol
_atom_site_fract_x
_atom_site_fract_y
_atom_site_fract_z
Pr1 Pr 0.0000 0.0000 0.0000
H1 H 0.6667 0.3333 0.1904
F1 F 0.3333 0.6667 0.8526
```

---

Most stable structure: model 1

---

Model 1:
PrH2F: optimized geometry, PBE.

CIF file:
```
data_PrH2F
_symmetry_space_group_name_H-M 'F m -3 m'
_symmetry_Int_Tables_number 225
_symmetry_space_group_name_Hall '-F 4 2 3'
_cell_length_a 5.584
_cell_length_b 5.584
_cell_length_c 5.584
_cell_angle_alpha 90.00
_cell_angle_beta 90.00
_cell_angle_gamma 90.00
loop_
_atom_site_label
_atom_site_type_symbol
_atom_site_fract_x
_atom_site_fract_y
_atom_site_fract_z
Pr1 Pr 0.000 0.000 0.000
H1 H 0.250 0.250 0.250
F1 F 0.000 0.000 0.500
```

---

Model 2:
PrH2F: optimized geometry, PBE.

CIF file:
```
data_PrH2F
_symmetry_space_group_name_H-M 'P 4/m m m'
_symmetry_Int_Tables_number 123
_symmetry_space_group_name_Hall '-P 4 2'
_cell_length_a 3.353
_cell_length_b 3.353
_cell_length_c 4.636
_cell_angle_alpha 90.00
_cell_angle_beta 90.00
_cell_angle_gamma 90.00
loop_
_atom_site_label
_atom_site_type_symbol
_atom_site_fract_x
_atom_site_fract_y
_atom_site_fract_z
Pr1 Pr 0.000 0.000 0.000
H1 H 0.500 0.500 0.215
F1 F 0.000 0.000 0.500
```

---

Most stable structure: model 1

---

Model 1:
HPtF: optimized geometry, PBE.

CIF file:
```
data_HPtF
_symmetry_space_group_name_H-M 'P 1'
_symmetry_Int_Tables_number 1
_cell_length_a 2.680
_cell_length_b 2.687
_cell_length_c 12.855
_cell_angle_alpha 89.99
_cell_angle_beta 84.92
_cell_angle_gamma 61.14
loop_
_symmetry_equiv_pos_as_xyz
'x,y,z'
loop_
_atom_site_label
_atom_site_type_symbol
_atom_site_fract_x
_atom_site_fract_y
_atom_site_fract_z
H1 H 0.000 0.000 0.000
H2 H 0.042 0.258 0.240
Pt1 Pt 0.600 0.178 0.523
Pt2 Pt 0.890 0.449 0.712
F1 F 0.208 0.206 0.000
F2 F 0.833 0.052 0.240
```

---

Model 2:
HPtF: optimized geometry, PBE.

CIF file:
```
data_HPtF
_symmetry_space_group_name_H-M 'P 1'
_symmetry_Int_Tables_number 1
_cell_length_a 3.403
_cell_length_b 4.150
_cell_length_c 6.275
_cell_angle_alpha 87.47
_cell_angle_beta 74.65
_cell_angle_gamma 65.86
loop_
_symmetry_equiv_pos_as_xyz
'x,y,z'
loop_
_atom_site_label
_atom_site_type_symbol
_atom_site_fract_x
_atom_site_fract_y
_atom_site_fract_z
H1 H 0.000 0.000 0.000
H2 H 0.488 0.857 0.171
Pt1 Pt 0.228 0.762 0.776
Pt2 Pt 0.740 0.500 0.019
F1 F 0.239 0.308 0.218
F2 F 0.737 0.935 0.582
```

---

Model 3:
HPtF: optimized geometry, PBE.

CIF file:
```
data_HPtF
_symmetry_space_group_name_H-M 'P 1'
_symmetry_Int_Tables_number 1
_cell_length_a 3.334
_cell_length_b 3.586
_cell_length_c 7.057
_cell_angle_alpha 98.32
_cell_angle_beta 98.34
_cell_angle_gamma 90.08
loop_
_symmetry_equiv_pos_as_xyz
'x,y,z'
loop_
_atom_site_label
_atom_site_type_symbol
_atom_site_fract_x
_atom_site_fract_y
_atom_site_fract_z
H1 H 0.000 0.000 0.000
H2 H 0.302 0.257 0.666
Pt1 Pt 0.050 0.136 0.226
Pt2 Pt 0.512 0.604 0.103
F1 F 0.102 0.380 0.512
F2 F 0.451 0.167 0.789
```

---

Model 4:
HPtF: optimized geometry, PBE.

CIF file:
```
data_HPtF
_symmetry_space_group_name_H-M 'P -1'
_symmetry_Int_Tables_number 2
_cell_length_a 2.773
_cell_length_b 2.785
_cell_length_c 10.401
_cell_angle_alpha 88.97
_cell_angle_beta 85.87
_cell_angle_gamma 89.99
loop_
_symmetry_equiv_pos_as_xyz
'x,y,z'
'-x,-y,-z'
loop_
_atom_site_label
_atom_site_type_symbol
_atom_site_fract_x
_atom_site_fract_y
_atom_site_fract_z
H1 H 0.152 0.222 0.381
Pt1 Pt 0.182 0.729 0.273
F1 F 0.222 0.239 0.124
```

---

Most stable structure: model 1

---

Model 1:
HPtF3: optimized geometry, PBE.

CIF file:
```
data_HPtF3
_symmetry_space_group_name_H-M 'P m -3 m'
_symmetry_Int_Tables_number 221
_symmetry_space_group_name_Hall '-P 4 2 3'
_cell_length_a 3.586
_cell_length_b 3.586
_cell_length_c 3.586
_cell_angle_alpha 90.00
_cell_angle_beta 90.00
_cell_angle_gamma 90.00
loop_
_atom_site_label
_atom_site_type_symbol
_atom_site_fract_x
_atom_site_fract_y
_atom_site_fract_z
H1 H 0.000 0.000 0.000
Pt1 Pt 0.500 0.500 0.500
F1 F 0.000 0.000 0.500
```

---

Model 2:
HPtF3: optimized geometry, PBE.

CIF file:
```
data_HPtF3
_symmetry_space_group_name_H-M 'P m -3 m'
_symmetry_Int_Tables_number 221
_symmetry_space_group_name_Hall '-P 4 2 3'
_cell_length_a 4.133
_cell_length_b 4.133
_cell_length_c 4.133
_cell_angle_alpha 90.00
_cell_angle_beta 90.00
_cell_angle_gamma 90.00
loop_
_atom_site_label
_atom_site_type_symbol
_atom_site_fract_x
_atom_site_fract_y
_atom_site_fract_z
H1 H 0.000 0.000 0.000
Pt1 Pt 0.500 0.500 0.500
F1 F 0.000 0.500 0.500
```

---

Most stable structure: model 2

---

Model 1:
H2PtF: optimized geometry, PBE.

CIF file:
```
data_H2PtF
_symmetry_space_group_name_H-M 'F m -3 m'
_symmetry_Int_Tables_number 225
_symmetry_space_group_name_Hall '-F 4 2 3'
_cell_length_a 5.046
_cell_length_b 5.046
_cell_length_c 5.046
_cell_angle_alpha 90.00
_cell_angle_beta 90.00
_cell_angle_gamma 90.00
loop_
_atom_site_label
_atom_site_type_symbol
_atom_site_fract_x
_atom_site_fract_y
_atom_site_fract_z
H1 H 0.250 0.250 0.250
Pt1 Pt 0.000 0.000 0.000
F1 F 0.000 0.000 0.500
```

---

Model 2:
H2PtF: optimized geometry, PBE.

CIF file:
```
data_H2PtF
_symmetry_space_group_name_H-M 'I -4 2 d'
_symmetry_Int_Tables_number 122
_symmetry_space_group_name_Hall 'I -4 2bw'
_cell_length_a 4.414
_cell_length_b 4.414
_cell_length_c 7.549
_cell_angle_alpha 90.00
_cell_angle_beta 90.00
_cell_angle_gamma 90.00
loop_
_atom_site_label
_atom_site_type_symbol
_atom_site_fract_x
_atom_site_fract_y
_atom_site_fract_z
H1 H 0.210 0.250 0.125
Pt1 Pt 0.000 0.000 0.000
F1 F 0.000 0.000 0.500
```

---

Most stable structure: model 2

---

Model 1:
PuH2F8: optimized geometry, PBE.

CIF file:
```
data_PuH2F8
_symmetry_space_group_name_H-M 'C 1 2/m 1'
_symmetry_Int_Tables_number 12
_cell_length_a 10.101
_cell_length_b 5.958
_cell_length_c 5.542
_cell_angle_alpha 90.00
_cell_angle_beta 98.83
_cell_angle_gamma 90.00
loop_
_symmetry_equiv_pos_as_xyz
'x,y,z'
'-x,-y,-z'
'-x,y,-z'
'x,-y,z'
'x+1/2,y+1/2,z'
'-x+1/2,-y+1/2,-z'
'-x+1/2,y+1/2,-z'
'x+1/2,-y+1/2,z'
loop_
_atom_site_label
_atom_site_type_symbol
_atom_site_fract_x
_atom_site_fract_y
_atom_site_fract_z
Pu1 Pu 0.000 0.000 0.000
H1 H 0.217 0.500 0.478
F1 F 0.103 0.232 0.851
F2 F 0.140 0.000 0.308
F3 F 0.148 0.500 0.341
```

---

Model 2:
PuH2F8: optimized geometry, PBE.

CIF file:
```
data_PuH2F8
_symmetry_space_group_name_H-M 'C 1 2/m 1'
_symmetry_Int_Tables_number 12
_cell_length_a 8.609
_cell_length_b 6.116
_cell_length_c 6.722
_cell_angle_alpha 90.00
_cell_angle_beta 119.36
_cell_angle_gamma 90.00
loop_
_symmetry_equiv_pos_as_xyz
'x,y,z'
'-x,-y,-z'
'-x,y,-z'
'x,-y,z'
'x+1/2,y+1/2,z'
'-x+1/2,-y+1/2,-z'
'-x+1/2,y+1/2,-z'
'x+1/2,-y+1/2,z'
loop_
_atom_site_label
_atom_site_type_symbol
_atom_site_fract_x
_atom_site_fract_y
_atom_site_fract_z
Pu1 Pu 0.000 0.000 0.000
H1 H 0.050 0.000 0.540
F1 F 0.025 0.270 0.189
F2 F 0.199 0.000 0.914
F3 F 0.245 0.000 0.288
```

---

Most stable structure: model 1

---

Model 1:
PuHF2: optimized geometry, PBE.

CIF file:
```
data_PuHF2
_symmetry_space_group_name_H-M 'P 4 m m'
_symmetry_Int_Tables_number 99
_cell_length_a 3.268
_cell_length_b 3.268
_cell_length_c 4.585
_cell_angle_alpha 90.00
_cell_angle_beta 90.00
_cell_angle_gamma 90.00
loop_
_symmetry_equiv_pos_as_xyz
'x,y,z'
'-y,x,z'
'-x,-y,z'
'y,-x,z'
'-x,y,z'
'y,x,z'
'x,-y,z'
'-y,-x,z'
loop_
_atom_site_label
_atom_site_type_symbol
_atom_site_fract_x
_atom_site_fract_y
_atom_site_fract_z
Pu1 Pu 0.000 0.000 0.000
H1 H 0.500 0.500 0.785
F1 F 0.000 0.000 0.517
F2 F 0.500 0.500 0.236
```

---

Model 2:
PuHF2: optimized geometry, PBE.

CIF file:
```
data_PuHF2
_symmetry_space_group_name_H-M 'R -3 m'
_symmetry_Int_Tables_number 166
_symmetry_space_group_name_Hall '-R 3 2"'
_cell_length_a 3.5082
_cell_length_b 3.5082
_cell_length_c 22.0077
_cell_angle_alpha 90.00
_cell_angle_beta 90.00
_cell_angle_gamma 120.00
loop_
_atom_site_label
_atom_site_type_symbol
_atom_site_fract_x
_atom_site_fract_y
_atom_site_fract_z
Pu1 Pu 0.0000 0.0000 0.0000
H1 H 0.0000 0.0000 0.5000
F1 F 0.0000 0.0000 0.0916
```

---

Most stable structure: model 1

---

Model 1:
PuH2F: optimized geometry, PBE.

CIF file:
```
data_PuH2F
_symmetry_space_group_name_H-M 'F m -3 m'
_symmetry_Int_Tables_number 225
_symmetry_space_group_name_Hall '-F 4 2 3'
_cell_length_a 5.442
_cell_length_b 5.442
_cell_length_c 5.442
_cell_angle_alpha 90.00
_cell_angle_beta 90.00
_cell_angle_gamma 90.00
loop_
_atom_site_label
_atom_site_type_symbol
_atom_site_fract_x
_atom_site_fract_y
_atom_site_fract_z
Pu1 Pu 0.000 0.000 0.000
H1 H 0.250 0.250 0.250
F1 F 0.000 0.000 0.500
```

---

Model 2:
PuH2F: optimized geometry, PBE.

CIF file:
```
data_PuH2F
_symmetry_space_group_name_H-M 'P 4/m m m'
_symmetry_Int_Tables_number 123
_symmetry_space_group_name_Hall '-P 4 2'
_cell_length_a 3.125
_cell_length_b 3.125
_cell_length_c 4.567
_cell_angle_alpha 90.00
_cell_angle_beta 90.00
_cell_angle_gamma 90.00
loop_
_atom_site_label
_atom_site_type_symbol
_atom_site_fract_x
_atom_site_fract_y
_atom_site_fract_z
Pu1 Pu 0.000 0.000 0.000
H1 H 0.500 0.500 0.197
F1 F 0.000 0.000 0.500
```

---

Most stable structure: model 1

---

Model 1:
PuH2F6: optimized geometry, PBE.

CIF file:
```
data_PuH2F6
_symmetry_space_group_name_H-M 'C 1 2/c 1'
_symmetry_Int_Tables_number 15
_cell_length_a 10.887
_cell_length_b 9.814
_cell_length_c 5.103
_cell_angle_alpha 90.00
_cell_angle_beta 100.33
_cell_angle_gamma 90.00
loop_
_symmetry_equiv_pos_as_xyz
'x,y,z'
'-x,-y,-z'
'-x,y,-z+1/2'
'x,-y,z+1/2'
'x+1/2,y+1/2,z'
'-x+1/2,-y+1/2,-z'
'-x+1/2,y+1/2,-z+1/2'
'x+1/2,-y+1/2,z+1/2'
loop_
_atom_site_label
_atom_site_type_symbol
_atom_site_fract_x
_atom_site_fract_y
_atom_site_fract_z
Pu1 Pu 0.000 0.132 0.250
H1 H 0.146 0.487 0.751
F1 F 0.106 0.052 0.638
F2 F 0.113 0.271 0.117
F3 F 0.146 0.440 0.587
```

---

Model 2:
PuH2F6: optimized geometry, PBE.

CIF file:
```
data_PuH2F6
_symmetry_space_group_name_H-M 'C 1 2/c 1'
_symmetry_Int_Tables_number 15
_cell_length_a 10.826
_cell_length_b 7.628
_cell_length_c 5.604
_cell_angle_alpha 90.00
_cell_angle_beta 110.98
_cell_angle_gamma 90.00
loop_
_symmetry_equiv_pos_as_xyz
'x,y,z'
'-x,-y,-z'
'-x,y,-z+1/2'
'x,-y,z+1/2'
'x+1/2,y+1/2,z'
'-x+1/2,-y+1/2,-z'
'-x+1/2,y+1/2,-z+1/2'
'x+1/2,-y+1/2,z+1/2'
loop_
_atom_site_label
_atom_site_type_symbol
_atom_site_fract_x
_atom_site_fract_y
_atom_site_fract_z
Pu1 Pu 0.000 0.174 0.250
H1 H 0.124 0.445 0.002
F1 F 0.118 0.026 0.605
F2 F 0.119 0.309 0.016
F3 F 0.124 0.385 0.483
```

---

Most stable structure: model 2